SrAs, relaxed, DFT PBE-GGA; M_tot = 0.00 μB per formula unit; DOS at the Fermi energy = 0.453 states/eV/atom; energy of formation from the pure elements = -1.92 eV/f.u.
1.0
0.6016 -6.7411 4.6686
4.0108 -6.7496 2.4404
4.5547 -2.7285 6.9791
Sr As
3 3
Cartesian
6.7643 -13.7823 10.4025 Sr
4.2427 -3.3994 6.5044 Sr
4.4437 -10.6827 6.8399 Sr
3.2332 -8.3372 4.9789 As
3.2247 -5.8990 4.9566 As
5.6023 -8.3508 8.6037 As

---

SrAs, relaxed, DFT PBE-GGA; M_tot = 0.00 μB per formula unit; DOS at the Fermi energy = 1.439 states/eV/atom; energy of formation from the pure elements = -0.60 eV/f.u.
1.0
-7.4188 -4.7998 -3.0008
-0.2164 -4.7029 8.0571
-5.6565 6.4751 3.6275
As Sr
8 8
Cartesian
-11.4321 0.8602 1.5762 As
-6.0705 0.9324 9.8080 As
-6.8434 -2.3536 2.4652 As
-1.6985 -0.3869 1.1097 As
-7.3823 -7.4609 4.8737 As
-6.3930 0.5280 4.1593 As
-5.0026 -2.3289 5.2914 As
-8.3444 -1.9007 5.4516 As
-6.3569 -0.2854 7.0868 Sr
-9.0493 -0.3217 2.9531 Sr
-4.1615 -0.9479 2.7188 Sr
-7.1298 -3.5714 -0.2560 Sr
-6.0263 3.4887 3.8946 Sr
-2.6198 -3.5107 6.6683 Sr
-10.8073 -2.4617 7.0607 Sr
-7.0157 -4.5002 4.6090 Sr